1.
Rb3U2Br9 | GGA-PBE | optimized geometry

Lattice parameters (Å, degrees): 10.345 10.345 10.345 84.90 84.90 84.90
Fractional coordinates of all 28 atoms:
Rb1 0.094 0.750 0.406
Rb2 0.250 0.594 0.906
Rb3 0.406 0.094 0.750
Rb4 0.594 0.906 0.250
Rb5 0.750 0.406 0.094
Rb6 0.906 0.250 0.594
U1 0.158 0.158 0.158
U2 0.342 0.342 0.342
U3 0.658 0.658 0.658
U4 0.842 0.842 0.842
Br1 0.079 0.268 0.914
Br2 0.082 0.418 0.250
Br3 0.086 0.921 0.732
Br4 0.232 0.421 0.586
Br5 0.250 0.082 0.418
Br6 0.268 0.914 0.079
Br7 0.414 0.768 0.579
Br8 0.418 0.250 0.082
Br9 0.421 0.586 0.232
Br10 0.579 0.414 0.768
Br11 0.582 0.750 0.918
Br12 0.586 0.232 0.421
Br13 0.732 0.086 0.921
Br14 0.750 0.918 0.582
Br15 0.768 0.579 0.414
Br16 0.914 0.079 0.268
Br17 0.918 0.582 0.750
Br18 0.921 0.732 0.086

Values from the calculation:
* spin magnetization: 0.43 μB per atom
* crystal system: trigonal
* space group: R-3c (167)
* total DFT energy (no corrections): -122.461 eV per cell
* formation energy from raw total energies: -143 kJ per mole of atoms


2.
CdCu2Ir | GGA-PBE | optimized geometry

Lattice parameters (Å, degrees): 3.967 3.967 3.699 90.00 90.00 90.00
Fractional coordinates of all 4 atoms:
Cd1 0.000 0.000 0.000
Cu1 0.000 0.500 0.500
Cu2 0.500 0.000 0.500
Ir1 0.500 0.500 0.000

Values from the calculation:
* energy of formation: 0.121 eV per atom
* spin magnetization: 0.00 μB per atom
* crystal system: tetragonal
* space group: P4/mmm (123)
* total DFT energy (no corrections): -17.484 eV per cell


3.
Ti2PtRh3 | GGA-PBE | optimized geometry

Lattice parameters (Å, degrees): 8.118 8.118 8.118 120.01 120.01 89.97
Fractional coordinates of all 24 atoms:
Ti1 0.275 0.330 0.555
Ti2 0.275 0.720 0.945
Ti3 0.280 0.725 0.555
Ti4 0.330 0.275 0.055
Ti5 0.670 0.725 0.945
Ti6 0.720 0.275 0.445
Ti7 0.725 0.280 0.055
Ti8 0.725 0.670 0.445
Pt1 0.080 0.330 0.750
Pt2 0.330 0.080 0.250
Pt3 0.670 0.920 0.750
Pt4 0.920 0.670 0.250
Rh1 0.000 0.500 0.500
Rh2 0.081 0.331 0.163
Rh3 0.081 0.919 0.750
Rh4 0.331 0.081 0.663
Rh5 0.331 0.669 0.250
Rh6 0.500 0.000 0.000
Rh7 0.500 0.500 0.000
Rh8 0.500 0.500 0.500
Rh9 0.669 0.331 0.750
Rh10 0.669 0.919 0.337
Rh11 0.919 0.081 0.250
Rh12 0.919 0.669 0.837

Values from the calculation:
* energy of formation: -0.505 eV per atom
* spin magnetization: 0.00 μB per atom
* crystal system: tetragonal
* space group: I4_1/amd (141)
* total DFT energy (no corrections): -187.661 eV per cell


4.
TlCdFeSn2 | GGA-PBE | optimized geometry

Lattice parameters (Å, degrees): 4.942 4.942 5.230 90.00 90.00 90.00
Fractional coordinates of all 5 atoms:
Tl1 0.000 0.000 0.000
Cd1 0.500 0.500 0.000
Fe1 0.500 0.500 0.500
Sn1 0.000 0.500 0.500
Sn2 0.500 0.000 0.500

Values from the calculation:
* energy of formation: 0.142 eV per atom
* spin magnetization: 0.22 μB per atom
* crystal system: tetragonal
* space group: P4/mmm (123)
* total DFT energy (no corrections): -19.039 eV per cell


5.
K2TeSO6 | GGA-PBE | optimized geometry

Lattice parameters (Å, degrees): 6.357 6.357 6.357 129.70 129.70 73.89
Fractional coordinates of all 10 atoms:
K1 0.250 0.750 0.500
K2 0.750 0.250 0.500
Te1 0.000 0.000 0.000
S1 0.500 0.500 0.000
O1 0.184 0.184 0.000
O2 0.269 0.269 0.537
O3 0.269 0.731 0.000
O4 0.731 0.269 0.000
O5 0.731 0.731 0.463
O6 0.816 0.816 0.000

Values from the calculation:
* spin magnetization: 0.00 μB per atom
* crystal system: tetragonal
* space group: I4/mmm (139)
* total DFT energy (no corrections): -48.672 eV per cell
* formation energy from raw total energies: -91 kJ per mole of atoms


6.
PmHCl2 | GGA-PBE | optimized geometry

Lattice parameters (Å, degrees): 7.439 7.439 7.439 30.35 30.35 30.35
Fractional coordinates of all 4 atoms:
Pm1 0.000 0.000 0.000
H1 0.667 0.667 0.667
Cl1 0.250 0.250 0.250
Cl2 0.417 0.417 0.417

Values from the calculation:
* spin magnetization: 0.00 μB per atom
* crystal system: trigonal
* space group: R3m (160)
* total DFT energy (no corrections): -18.927 eV per cell


7.
As2SeSF | GGA-PBE | optimized geometry

Lattice parameters (Å, degrees): 4.809 4.809 4.778 90.00 90.00 90.00
Fractional coordinates of all 5 atoms:
As1 0.000 0.500 0.000
As2 0.500 0.000 0.000
Se1 0.000 0.000 0.500
S1 0.000 0.000 0.000
F1 0.500 0.500 0.500

Values from the calculation:
* offset from the most stable computed form: 0.000 eV per atom
* spin magnetization: 0.00 μB per atom
* crystal system: tetragonal
* space group: P4/mmm (123)
* total DFT energy (no corrections): -16.102 eV per cell
* formation energy from raw total energies: 52 kJ per mole of atoms


8.
La2BeAl | GGA-PBE | optimized geometry

Lattice parameters (Å, degrees): 6.038 6.038 6.038 144.12 130.67 62.49
Fractional coordinates of all 4 atoms:
La1 0.000 0.000 0.000
La2 0.705 0.205 0.500
Be1 0.440 0.440 0.000
Al1 0.290 0.790 0.500

Values from the calculation:
* energy of formation: -0.112 eV per atom
* offset from the most stable computed form: 0.000 eV per atom
* spin magnetization: 0.00 μB per atom
* crystal system: orthorhombic
* space group: Imm2 (44)
* total DFT energy (no corrections): -17.772 eV per cell


V values (in Å³/cell) by entry order: 1094.8; 58.2; 378.2; 127.7; 148.4; 93.2; 110.5; 96.8.